(1)
Entry from Alexandria via LeMat-Bulk: a relaxed structure of BeCuAs (PBE-GGA).

a b c (Å): 3.8507 3.8451 7.9213
angles (deg): 60.75 75.81 59.91
Atoms (fractional coordinates):
Be 0.3353 0.4265 0.9039
Be 0.6647 0.5735 0.0961
Cu 0.3343 0.7430 0.5890
Cu 0.6657 0.2570 0.4110
As 0.3312 0.1066 0.2302
As 0.6688 0.8934 0.7698

Output
ΔE_f (meV per atom): 3
DFT total energy (eV/atom): -4.155
Mass density (g cm⁻³): 5.5

=====

(2)
Entry from Alexandria via LeMat-Bulk: a relaxed structure of AgPb2 (PBE-GGA).

a b c (Å): 7.5615 7.5615 5.2530
angles (deg): 90.00 90.00 147.62
Atoms (fractional coordinates):
Ag 0.0698 0.9302 0.7500
Ag 0.9302 0.0698 0.2500
Pb 0.7298 0.2702 0.7500
Pb 0.4208 0.5792 0.7500
Pb 0.5792 0.4208 0.2500
Pb 0.2702 0.7298 0.2500

Output
ΔE_f (meV per atom): 90
DFT total energy (eV/atom): -3.332
Mass density (g cm⁻³): 10.8

=====

(3)
Entry from Alexandria via LeMat-Bulk: a relaxed structure of LiMg2NiH6 (PBE-GGA).

a b c (Å): 4.8047 4.4627 4.4627
angles (deg): 120.00 90.00 90.00
Atoms (fractional coordinates):
H 0.7852 0.1685 0.8315
H 0.2148 0.8315 0.1685
H 0.7852 0.1685 0.3370
H 0.7852 0.6630 0.8315
H 0.2148 0.3370 0.1685
H 0.2148 0.8315 0.6630
Mg 0.7959 0.6667 0.3333
Mg 0.2041 0.3333 0.6667
Ni 0.0000 0.0000 0.0000
Li 0.5000 0.0000 0.0000

Output
DFT total energy (eV/atom): -3.173
Mass density (g cm⁻³): 2.4

=====

(4)
Entry from Alexandria via LeMat-Bulk: a relaxed structure of TbSm3In2 (PBE-GGA).

a b c (Å): 5.2830 6.8023 9.9906
angles (deg): 90.00 90.00 90.00
Atoms (fractional coordinates):
Tb 0.5000 0.5315 0.5381
Tb 0.5000 0.0315 0.4619
In 0.0000 0.2894 0.6436
In 0.5000 0.7118 0.8546
In 0.5000 0.2118 0.1454
In 0.0000 0.7894 0.3564
Sm 0.5000 0.6920 0.1803
Sm 0.0000 0.4670 0.9632
Sm 0.0000 0.8083 0.6764
Sm 0.5000 0.1920 0.8197
Sm 0.0000 0.9670 0.0368
Sm 0.0000 0.3083 0.3236

Output
ΔE_f (meV per atom): -354
DFT total energy (eV/atom): -4.398
Mass density (g cm⁻³): 7.8
E above lowest polymorph (meV per atom): 0

=====

(5)
Entry from Alexandria via LeMat-Bulk: a relaxed structure of ZnAs3F (PBE-GGA).

a b c (Å): 4.8030 4.8030 4.8030
angles (deg): 90.00 90.00 90.00
Atoms (fractional coordinates):
Zn 0.0000 0.0000 0.0000
As 0.5000 0.0000 0.0000
As 0.0000 0.0000 0.5000
As 0.0000 0.5000 0.0000
F 0.5000 0.5000 0.5000

Output
Energy relative to the elements, uncorrected (eV per atom): 0.520
DFT total energy (eV/atom): -2.899
Mass density (g cm⁻³): 4.6
E above lowest polymorph (meV per atom): 126

=====

(6)
Entry from Alexandria via LeMat-Bulk: a relaxed structure of Y2Cu2Pt (PBE-GGA).

a b c (Å): 3.4872 3.4872 8.7405
angles (deg): 78.49 78.49 90.00
Atoms (fractional coordinates):
Pt 0.0000 0.0000 0.0000
Cu 0.7500 0.2500 0.5000
Cu 0.2500 0.7500 0.5000
Y 0.6023 0.6023 0.7953
Y 0.3977 0.3977 0.2047

Output
ΔE_f (meV per atom): -464
DFT total energy (eV/atom): -5.896
Mass density (g cm⁻³): 8.1
E above lowest polymorph (meV per atom): 142

=====

(7)
Entry from Alexandria via LeMat-Bulk: a relaxed structure of LiCaTlZn (PBE-GGA).

a b c (Å): 4.9256 4.9256 4.9256
angles (deg): 60.00 60.00 60.00
Atoms (fractional coordinates):
Zn 0.7500 0.7500 0.7500
Ca 0.5000 0.5000 0.5000
Tl 0.0000 0.0000 0.0000
Li 0.2500 0.2500 0.2500

Output
ΔE_f (meV per atom): -238
DFT total energy (eV/atom): -2.127
Mass density (g cm⁻³): 6.2

=====

(8)
Entry from Alexandria via LeMat-Bulk: a relaxed structure of BaCaVN3 (PBE-GGA).

a b c (Å): 3.9117 6.9662 7.7985
angles (deg): 105.73 90.00 106.31
Atoms (fractional coordinates):
N 0.5013 0.0026 0.3109
N 0.1402 0.2804 0.8081
N 0.8598 0.7196 0.1919
N 0.1460 0.2920 0.3376
N 0.4987 0.9974 0.6891
N 0.8540 0.7080 0.6624
V 0.0016 0.0033 0.3130
V 0.9984 0.9967 0.6870
Ca 0.3432 0.6863 0.4243
Ca 0.6568 0.3137 0.5757
Ba 0.3571 0.7143 0.9255
Ba 0.6429 0.2857 0.0745

Output
Energy relative to the elements, uncorrected (eV per atom): -0.607
DFT total energy (eV/atom): -6.944
Mass density (g cm⁻³): 4.6

=====

(9)
Entry from Alexandria via LeMat-Bulk: a relaxed structure of Ba2HoH (PBE-GGA).

a b c (Å): 3.8183 3.8183 10.8291
angles (deg): 79.85 79.85 60.00
Atoms (fractional coordinates):
Ho 0.0000 0.0000 0.0000
Ba 0.8872 0.8872 0.3385
Ba 0.1128 0.1128 0.6615
H 0.5000 0.5000 0.5000

Output
DFT total energy (eV/atom): -2.751
Mass density (g cm⁻³): 5.5

=====

(10)
Entry from Alexandria via LeMat-Bulk: a relaxed structure of Na2LaAs2 (PBE-GGA).

a b c (Å): 8.5319 8.5319 3.5402
angles (deg): 90.00 90.00 90.00
Atoms (fractional coordinates):
As 0.8184 0.6816 0.0000
As 0.3184 0.8184 0.0000
As 0.6816 0.1816 0.0000
As 0.1816 0.3184 0.0000
Na 0.8806 0.3806 0.5000
Na 0.1194 0.6194 0.5000
Na 0.3806 0.1194 0.5000
Na 0.6194 0.8806 0.5000
La 0.5000 0.5000 0.0000
La 0.0000 0.0000 0.0000

Output
ΔE_f (meV per atom): -465
DFT total energy (eV/atom): -3.838
Mass density (g cm⁻³): 4.3
E above lowest polymorph (meV per atom): 212

=====

(11)
Entry from Alexandria via LeMat-Bulk: a relaxed structure of SrBePt3 (PBE-GGA).

a b c (Å): 4.8382 4.8382 11.5343
angles (deg): 77.89 77.89 90.00
Atoms (fractional coordinates):
Pt 0.3734 0.3734 0.2531
Pt 0.1251 0.3725 0.7497
Pt 0.1251 0.8778 0.7497
Pt 0.1222 0.8749 0.2503
Pt 0.6266 0.6266 0.7469
Pt 0.6275 0.8749 0.2503
Be 0.8701 0.3701 0.2597
Be 0.6299 0.1299 0.7403
Sr 0.0000 0.0000 0.0000
Sr 0.2500 0.7500 0.5000

Output
ΔE_f (meV per atom): -248
DFT total energy (eV/atom): -4.955
Mass density (g cm⁻³): 8.8
E above lowest polymorph (meV per atom): 496

=====

(12)
Entry from Alexandria via LeMat-Bulk: a relaxed structure of PrNdMgAu (PBE-GGA).

a b c (Å): 5.3818 5.3818 5.3818
angles (deg): 60.00 60.00 60.00
Atoms (fractional coordinates):
Mg 0.5000 0.5000 0.5000
Pr 0.7500 0.7500 0.7500
Au 0.0000 0.0000 0.0000
Nd 0.2500 0.2500 0.2500

Output
ΔE_f (meV per atom): -357
DFT total energy (eV/atom): -3.962
Mass density (g cm⁻³): 7.6
E above lowest polymorph (meV per atom): 73